DFT (PBE with a Hubbard U) results for a relaxed KCoPO crystal.

Summary:
As for the spin magnetization: 3.7 μB/cell. The total energy is -18.20 eV/f.u. As for the space-group type: Pmma, No. 51.

Unit cell a=6.027 b=3.328 c=7.308 alpha=90.00 beta=90.00 gamma=90.00
Fractional coordinates of all 8 atoms:
K 0.250 0.000 0.217
K 0.750 0.000 0.783
Co 0.250 0.500 0.851
Co 0.750 0.500 0.149
P 0.250 0.000 0.648
P 0.750 0.000 0.352
O 0.000 0.500 0.000
O 0.500 0.500 0.000